Sc2TlSb: optimized geometry, PBE.

Calculated values
calculated total energy: -5.202 eV/atom
space-group type: Cmmm
E above lowest polymorph: 105 meV per atom
magnetic moment: 0.0 μB/cell

POSCAR file:
```
Sc2TlSb
1.0
3.4373 -0.0297 0.0000
-0.7741 3.3491 0.0000
0.0000 0.0000 8.4099
Sc Sb Tl
2 1 1
Direct
0.0000 0.0000 0.9858
0.0000 0.0000 0.5142
0.5000 0.5000 0.7500
0.5000 0.5000 0.2500
```